1.
A geometry-optimized SnP2PbO structure, computed with PBE.

a b c (Å): 7.9135 7.9135 4.3710
angles (deg): 90.00 90.00 90.00
Fractional coordinates of all 5 atoms:
Sn 0.0000 0.0000 0.0000
P 0.0000 0.5000 0.0000
P 0.5000 0.0000 0.0000
Pb 0.5000 0.5000 0.5000
O 0.0000 0.0000 0.5000

Spin magnetization, μB/cell: 3.42
DFT total energy, eV/atom: -3.182
E_form (uncorrected), eV/atom: 1.516
D(E_F), states/eV per cell: 4.2

---

2.
A geometry-optimized SnPPbO2 structure, computed with PBE.

a b c (Å): 4.2182 4.2182 5.4455
angles (deg): 90.00 90.00 90.00
Fractional coordinates of all 5 atoms:
Sn 0.0000 0.0000 0.0000
P 0.5000 0.5000 0.0000
Pb 0.5000 0.5000 0.5000
O 0.0000 0.5000 0.5000
O 0.5000 0.0000 0.5000

Energy relative to the lowest polymorph listed for this composition, eV per atom: 0.492
Spin magnetization, μB/cell: 0.00
DFT total energy, eV/atom: -4.639
E_form (uncorrected), eV/atom: -0.031
D(E_F), states/eV per cell: 3.1

---

3.
A geometry-optimized SrPPbO2 structure, computed with PBE.

a b c (Å): 4.4834 4.4834 6.0756
angles (deg): 90.00 90.00 90.00
Fractional coordinates of all 5 atoms:
Sr 0.0000 0.0000 0.0000
P 0.0000 0.0000 0.5000
Pb 0.5000 0.5000 0.5000
O 0.0000 0.5000 0.0000
O 0.5000 0.0000 0.0000

Energy relative to the lowest polymorph listed for this composition, eV per atom: 0.476
Spin magnetization, μB/cell: 2.51
DFT total energy, eV/atom: -4.321
E_form (uncorrected), eV/atom: -0.178
D(E_F), states/eV per cell: 4.1

---

4.
A geometry-optimized SrPPbO2 structure, computed with PBE.

a b c (Å): 4.4239 4.4239 5.2038
angles (deg): 90.00 90.00 90.00
Fractional coordinates of all 5 atoms:
Sr 0.0000 0.0000 0.0000
P 0.5000 0.5000 0.0000
Pb 0.5000 0.5000 0.5000
O 0.0000 0.5000 0.5000
O 0.5000 0.0000 0.5000

Energy relative to the lowest polymorph listed for this composition, eV per atom: 0.000
Spin magnetization, μB/cell: 0.93
DFT total energy, eV/atom: -4.797
E_form (uncorrected), eV/atom: -0.654
D(E_F), states/eV per cell: 4.9

---

5.
A geometry-optimized SrP2PbO6 structure, computed with PBE.

a b c (Å): 5.6804 5.6804 5.6804
angles (deg): 66.89 66.89 66.89
Fractional coordinates of all 10 atoms:
Sr 0.0000 0.0000 0.0000
P 0.2847 0.2847 0.2847
P 0.7153 0.7153 0.7153
Pb 0.5000 0.5000 0.5000
O 0.0320 0.5041 0.2281
O 0.2281 0.0320 0.5041
O 0.4959 0.7719 0.9680
O 0.5041 0.2281 0.0320
O 0.7719 0.9680 0.4959
O 0.9680 0.4959 0.7719

Spin magnetization, μB/cell: 0.00
DFT total energy, eV/atom: -6.591
E_form (uncorrected), eV/atom: -1.995

---

6.
A geometry-optimized SrP2PbO8 structure, computed with PBE.

a b c (Å): 4.9848 4.9848 7.7746
angles (deg): 90.00 90.00 120.00
Fractional coordinates of all 12 atoms:
Sr 0.0000 0.0000 0.0000
P 0.3333 0.6667 0.7492
P 0.6667 0.3333 0.2508
Pb 0.0000 0.0000 0.5000
O 0.0550 0.3528 0.6855
O 0.2978 0.9450 0.6855
O 0.3333 0.6667 0.9451
O 0.3528 0.2978 0.3145
O 0.6472 0.7022 0.6855
O 0.6667 0.3333 0.0549
O 0.7022 0.0550 0.3145
O 0.9450 0.6472 0.3145

Spin magnetization, μB/cell: 0.00
DFT total energy, eV/atom: -6.761
E_form (uncorrected), eV/atom: -2.104
D(E_F), states/eV per cell: 0.0

---

7.
A geometry-optimized TaPPbO2 structure, computed with PBE.

a b c (Å): 4.0295 4.0295 5.1561
angles (deg): 90.00 90.00 90.00
Fractional coordinates of all 5 atoms:
Ta 0.0000 0.0000 0.0000
P 0.0000 0.0000 0.5000
Pb 0.5000 0.5000 0.5000
O 0.0000 0.5000 0.0000
O 0.5000 0.0000 0.0000

Energy relative to the lowest polymorph listed for this composition, eV per atom: 0.000
Spin magnetization, μB/cell: 0.00
DFT total energy, eV/atom: -7.616
E_form (uncorrected), eV/atom: -1.438
D(E_F), states/eV per cell: 1.0

---

8.
A geometry-optimized TaPPbO2 structure, computed with PBE.

a b c (Å): 4.0367 4.0367 5.6354
angles (deg): 90.00 90.00 90.00
Fractional coordinates of all 5 atoms:
Ta 0.0000 0.0000 0.0000
P 0.5000 0.5000 0.0000
Pb 0.5000 0.5000 0.5000
O 0.0000 0.5000 0.5000
O 0.5000 0.0000 0.5000

Energy relative to the lowest polymorph listed for this composition, eV per atom: 1.953
Spin magnetization, μB/cell: 1.68
DFT total energy, eV/atom: -5.663
E_form (uncorrected), eV/atom: 0.515
D(E_F), states/eV per cell: 3.8

---

9.
A geometry-optimized TbP2PbO8 structure, computed with PBE.

a b c (Å): 5.4316 5.4316 7.4128
angles (deg): 90.00 90.00 120.00
Fractional coordinates of all 12 atoms:
Tb 0.0000 0.0000 0.0000
P 0.3333 0.6667 0.2734
P 0.6667 0.3333 0.7266
Pb 0.0000 0.0000 0.5000
O 0.1759 0.3563 0.2035
O 0.1804 0.8241 0.2035
O 0.3333 0.6667 0.4821
O 0.3563 0.1804 0.7965
O 0.6437 0.8196 0.2035
O 0.6667 0.3333 0.5179
O 0.8196 0.1759 0.7965
O 0.8241 0.6437 0.7965

Spin magnetization, μB/cell: 1.04
DFT total energy, eV/atom: -7.191
E_form (uncorrected), eV/atom: -2.289
D(E_F), states/eV per cell: 9.0

---

10.
A geometry-optimized Tb3PPbO structure, computed with PBE.

a b c (Å): 8.8749 4.0028 8.9983
angles (deg): 90.00 104.00 90.00
Fractional coordinates of all 12 atoms:
Tb 0.0646 0.2500 0.3417
Tb 0.3354 0.2500 0.9783
Tb 0.3800 0.7500 0.6488
Tb 0.6200 0.2500 0.3512
Tb 0.6646 0.7500 0.0217
Tb 0.9354 0.7500 0.6583
P 0.1566 0.2500 0.6606
P 0.8434 0.7500 0.3394
Pb 0.3157 0.7500 0.2725
Pb 0.6843 0.2500 0.7275
O 0.4120 0.7500 0.9048
O 0.5880 0.2500 0.0952

Spin magnetization, μB/cell: 0.00
DFT total energy, eV/atom: -6.344
E_form (uncorrected), eV/atom: -1.683
D(E_F), states/eV per cell: 4.8

---

11.
A geometry-optimized TcP2PbO structure, computed with PBE.

a b c (Å): 5.1106 5.1106 3.7739
angles (deg): 90.00 90.00 90.00
Fractional coordinates of all 5 atoms:
Tc 0.0000 0.0000 0.0000
P 0.0000 0.5000 0.0000
P 0.5000 0.0000 0.0000
Pb 0.5000 0.5000 0.5000
O 0.0000 0.0000 0.5000

Energy relative to the lowest polymorph listed for this composition, eV per atom: 0.000
Spin magnetization, μB/cell: 0.00
DFT total energy, eV/atom: -6.095
E_form (uncorrected), eV/atom: -0.125
D(E_F), states/eV per cell: 3.4

---

12.
A geometry-optimized TcP2PbO structure, computed with PBE.

a b c (Å): 5.2087 5.2087 4.1657
angles (deg): 90.00 90.00 90.00
Fractional coordinates of all 5 atoms:
Tc 0.0000 0.0000 0.0000
P 0.0000 0.5000 0.5000
P 0.5000 0.0000 0.5000
Pb 0.5000 0.5000 0.5000
O 0.5000 0.5000 0.0000

Energy relative to the lowest polymorph listed for this composition, eV per atom: 1.422
Spin magnetization, μB/cell: 3.03
DFT total energy, eV/atom: -4.673
E_form (uncorrected), eV/atom: 1.297
D(E_F), states/eV per cell: 3.4

---

Look up the DFT total energy of the fourth one. -4.797 eV/atom

---

Among the records above, which one has the highest DFT total energy? SnP2PbO

---

Copy entry 3 word for word.
A geometry-optimized SrPPbO2 structure, computed with PBE.

a b c (Å): 4.4834 4.4834 6.0756
angles (deg): 90.00 90.00 90.00
Fractional coordinates of all 5 atoms:
Sr 0.0000 0.0000 0.0000
P 0.0000 0.0000 0.5000
Pb 0.5000 0.5000 0.5000
O 0.0000 0.5000 0.0000
O 0.5000 0.0000 0.0000

Energy relative to the lowest polymorph listed for this composition, eV per atom: 0.476
Spin magnetization, μB/cell: 2.51
DFT total energy, eV/atom: -4.321
E_form (uncorrected), eV/atom: -0.178
D(E_F), states/eV per cell: 4.1